CsPaI5 | PBE | optimized geometry

Computed properties:
Total moment: 1.0 μB/f.u.
Total energy: -3.707 eV per atom

Lattice parameters (Å, degrees): 8.698 8.698 12.441 109.44 109.44 67.48
Atoms (fractional coordinates):
Cs 0.031 0.969 0.750
Cs 0.969 0.031 0.250
Pa 0.500 0.500 0.000
Pa 0.500 0.500 0.500
I 0.122 0.683 0.980
I 0.165 0.431 0.387
I 0.317 0.878 0.520
I 0.431 0.165 0.887
I 0.450 0.550 0.750
I 0.550 0.450 0.250
I 0.569 0.835 0.113
I 0.683 0.122 0.480
I 0.835 0.569 0.613
I 0.878 0.317 0.020

=====

Li2SbMo | PBE | optimized geometry

Computed properties:
Total moment: 0.0 μB/f.u.
Total energy: -4.820 eV per atom

Lattice parameters (Å, degrees): 4.621 4.621 8.333 111.44 111.44 55.85
Atoms (fractional coordinates):
Li 0.000 0.000 0.000
Li 0.096 0.096 0.353
Li 0.500 0.500 0.500
Li 0.904 0.904 0.647
Sb 0.259 0.259 0.732
Sb 0.741 0.741 0.268
Mo 0.346 0.346 0.082
Mo 0.654 0.654 0.918

=====

SbPtNF2 | PBE | optimized geometry

Computed properties:
Total moment: 0.2 μB/f.u.
Total energy: -4.340 eV per atom

Lattice parameters (Å, degrees): 4.222 4.222 4.241 90.00 90.00 90.00
Atoms (fractional coordinates):
Sb 0.000 0.000 0.000
Pt 0.500 0.500 0.500
N 0.000 0.000 0.500
F 0.000 0.500 0.000
F 0.500 0.000 0.000

=====

Re2NiHg | PBE | optimized geometry

Computed properties:
E_form: 0.877 eV per atom
Total moment: 0.0 μB/f.u.

Lattice parameters (Å, degrees): 10.046 10.046 10.046 158.65 158.65 30.37
Atoms (fractional coordinates):
Re 0.084 0.625 0.959
Re 0.375 0.334 0.459
Re 0.666 0.125 0.041
Re 0.875 0.916 0.541
Ni 0.000 0.000 0.000
Ni 0.750 0.250 0.500
Hg 0.250 0.750 0.500
Hg 0.500 0.500 0.000